Material: PuUAgO6
Method: DFT, PBE
State: optimized geometry

Cell and atoms, written as POSCAR:
```
PuUAgO6
1.0
-3.9680 2.0703 -3.8145
-0.2327 -5.6166 1.7267
-5.7313 2.4848 7.3105
O Pu Ag U
12 2 2 2
direct
0.3736 0.3681 0.3568
0.0054 0.6319 0.8568
0.9946 0.3681 0.1432
0.3681 0.9946 0.6432
0.9946 0.6264 0.3568
0.3736 0.0054 0.1432
0.6319 0.0054 0.3568
0.3681 0.3736 0.8568
0.6264 0.9946 0.8568
0.6264 0.6319 0.6432
0.6319 0.6264 0.1432
0.0054 0.3736 0.6432
0.6667 0.3333 0.7500
0.3333 0.6667 0.2500
0.0000 0.0000 0.5000
0.0000 0.0000 0.0000
0.3333 0.6667 0.7500
0.6667 0.3333 0.2500
```

Results
- Energy relative to the elements, uncorrected: -2.3515 eV/atom
- Density: 7.91 g/cm3
- Calculated volume: 16.0 A^3/atom